# Cr2FeO | Alexandria via LeMat-Bulk | PBE+U | optimized geometry
# Final energy in eV/atom: -6.278
# Total magnetic moment in μB/atom: 2.96
# Crystal system: tetragonal
data_Cr2FeO
_cell_length_a 5.879
_cell_length_b 5.879
_cell_length_c 9.388
_cell_angle_alpha 90.00
_cell_angle_beta 90.00
_cell_angle_gamma 90.00
_symmetry_space_group_name_H-M 'I -4 2 d'
_symmetry_Int_Tables_number 122
_symmetry_space_group_name_Hall 'I -4 2bw'
loop_
_atom_site_label
_atom_site_fract_x
_atom_site_fract_y
_atom_site_fract_z
Cr1 0.087 0.250 0.125
Fe1 0.000 0.000 0.500
O1 0.000 0.000 0.000